(1)
Crystalline Nd3MoBr2O6 at its relaxed geometry, computed with PBE with a Hubbard U.

Values from the calculation:
Its volume is 19.4 Å³ per atom. The calculation puts the mass density at 5.6 g/cm3. Its total magnetic moment is 1.00 μB/f.u. The final energy is -6.719 eV/atom.

Cell: 6.835 6.835 5.874 Å, 99.47 99.47 59.70°
Sites, in units of the cell vectors:
Nd 0.000 0.000 0.000
Nd 0.000 0.500 0.500
Nd 0.500 0.000 0.500
Mo 0.500 0.500 0.500
Br 0.224 0.224 0.883
Br 0.776 0.776 0.117
O 0.207 0.681 0.695
O 0.319 0.793 0.305
O 0.340 0.340 0.343
O 0.660 0.660 0.657
O 0.681 0.207 0.695
O 0.793 0.319 0.305



(2)
Crystalline PmMn2BiO8 at its relaxed geometry, computed with PBE with a Hubbard U.

Values from the calculation:
Its volume is 16.5 Å³ per atom. The calculation puts the mass density at 5.0 g/cm3. Its total magnetic moment is 4.00 μB/f.u. The final energy is -6.680 eV/atom.

Cell: 5.749 5.749 6.920 Å, 90.00 90.00 120.00°
Sites, in units of the cell vectors:
Pm 0.000 0.000 0.000
Mn 0.333 0.667 0.318
Mn 0.667 0.333 0.682
Bi 0.000 0.000 0.500
O 0.166 0.332 0.240
O 0.166 0.834 0.240
O 0.332 0.166 0.760
O 0.333 0.667 0.554
O 0.667 0.333 0.446
O 0.668 0.834 0.240
O 0.834 0.166 0.760
O 0.834 0.668 0.760



Which value of total magnetic moment does entry 2 give? 4.00 μB/f.u.



mass density of number 1 (Nd3MoBr2O6)? 5.6 g/cm3



The lowest volume belongs to which entry? PmMn2BiO8



Look up the mass density of the first one. 5.6 g/cm3